# Cu2HgPd (PBE, optimized geometry)
data_Cu2HgPd
_chemical_formula_sum 'Cu2 Hg1 Pd1'
_symmetry_space_group_name_H-M 'P 4/m m m'
_symmetry_Int_Tables_number 123
_symmetry_space_group_name_Hall '-P 4 2'
_cell_length_a 3.199
_cell_length_b 3.199
_cell_length_c 5.964
_cell_angle_alpha 90.00
_cell_angle_beta 90.00
_cell_angle_gamma 90.00
loop_
_atom_site_label
_atom_site_type_symbol
_atom_site_fract_x
_atom_site_fract_y
_atom_site_fract_z
_atom_site_occupancy
Cu1 Cu 0.000 0.000 0.227 1
Hg1 Hg 0.500 0.500 0.500 1
Pd1 Pd 0.500 0.500 0.000 1
# - ρ (g/cm³) = 11.809
# - calculated formation energy (meV/atom) = 15.7